Compound: Pr3TePBr
Source: Alexandria via LeMat-Bulk
Functional: PBE
Structure: relaxed

Results
Uncorrected formation energy in eV per formula unit: -7.99
Total magnetic moment in μB per formula unit: 1.066
D(E_F) in states/eV/cell: 5.97

Cell lengths 8.9740, 4.2365, 10.4799 Å; angles 90.00, 92.14, 90.00 degrees
Closest atoms and distances in Å follow each position.
Space group P2_1/m (No. 11)
Symmetry-distinct sites (fractional):
Pr (0.1029, 0.2500, 0.3629) (multiplicity 2)  3 P 2.89-2.95
Pr (0.1420, 0.2500, 0.9098) (multiplicity 2)  1 P 2.84, 2 Br 2.96
Pr (0.3513, 0.7500, 0.6313) (multiplicity 2)  2 P 2.94, 1 Br 3.03, 3 Te 3.21-3.27
Te (0.3729, 0.7500, 0.3267) (multiplicity 2)  5 Pr 3.21-3.27
P (0.1254, 0.2500, 0.6390) (multiplicity 2)  6 Pr 2.84-2.95
Br (0.3729, 0.7500, 0.9202) (multiplicity 2)  3 Pr 2.96-3.03